A relaxed In2PPt crystal, computed with PBE.

a b c (Å): 4.812 4.812 4.812
angles (deg): 60.00 60.00 60.00
Fractional coordinates of all 4 atoms:
In: 0.000 0.000 0.000
In: 0.250 0.250 0.250
P: 0.500 0.500 0.500
Pt: 0.750 0.750 0.750

Fermi-level density of states: 3.5 states/eV per cell
space group: F-43m, No. 216
calculated volume: 79 Å³ per cell
ΔH_f (0 K): 0.213 eV per atom
M_tot: 0.00 μB per formula unit

=====

A relaxed In2PPt crystal, computed with PBE.

a b c (Å): 6.876 6.876 6.876
angles (deg): 151.74 144.94 45.62
Fractional coordinates of all 4 atoms:
In: 0.000 0.000 0.000
In: 0.696 0.196 0.500
P: 0.287 0.787 0.500
Pt: 0.417 0.417 0.000

Fermi-level density of states: 2.0 states/eV per cell
space group: Imm2, No. 44
calculated volume: 88 Å³ per cell
ΔH_f (0 K): -0.114 eV per atom
M_tot: 0.00 μB per formula unit

=====

A relaxed InP2Pt crystal, computed with PBE.

a b c (Å): 7.060 7.060 7.060
angles (deg): 133.49 133.49 67.88
Fractional coordinates of all 8 atoms:
In: 0.000 0.000 0.000
In: 0.750 0.250 0.500
P: 0.172 0.625 0.047
P: 0.375 0.422 0.547
P: 0.578 0.125 0.953
P: 0.875 0.828 0.453
Pt: 0.250 0.750 0.500
Pt: 0.500 0.500 0.000

Fermi-level density of states: 4.5 states/eV per cell
space group: I-42d, No. 122
calculated volume: 182 Å³ per cell
ΔH_f (0 K): -0.166 eV per atom
M_tot: 0.00 μB per formula unit

=====

A relaxed InP2Pt crystal, computed with PBE.

a b c (Å): 3.886 3.886 4.644
angles (deg): 90.00 90.00 90.00
Fractional coordinates of all 4 atoms:
In: 0.000 0.000 0.000
P: 0.000 0.500 0.500
P: 0.500 0.000 0.500
Pt: 0.500 0.500 0.000

Fermi-level density of states: 1.7 states/eV per cell
space group: P4/mmm, No. 123
calculated volume: 70 Å³ per cell
ΔH_f (0 K): 0.374 eV per atom
M_tot: 0.00 μB per formula unit

=====

A relaxed In2PPt crystal, computed with PBE.

a b c (Å): 3.912 3.912 6.753
angles (deg): 106.61 106.61 59.79
Fractional coordinates of all 4 atoms:
In: 0.249 0.249 0.248
In: 0.751 0.751 0.752
P: 0.500 0.500 0.000
Pt: 0.000 0.000 0.500

Fermi-level density of states: 1.5 states/eV per cell
space group: C2/m, No. 12
calculated volume: 84 Å³ per cell
ΔH_f (0 K): -0.087 eV per atom
M_tot: 0.00 μB per formula unit

=====

A relaxed In2PPt crystal, computed with PBE.

a b c (Å): 3.876 3.890 5.601
angles (deg): 90.66 90.34 90.01
Fractional coordinates of all 4 atoms:
In: 0.000 0.000 0.000
In: 0.500 0.500 0.500
P: 0.000 0.000 0.500
Pt: 0.500 0.500 0.000

Fermi-level density of states: 2.4 states/eV per cell
space group: P-1, No. 2
calculated volume: 84 Å³ per cell
ΔH_f (0 K): -0.074 eV per atom
M_tot: 0.00 μB per formula unit

=====

A relaxed InP2Pt crystal, computed with PBE.

a b c (Å): 5.563 5.563 4.701
angles (deg): 103.68 103.68 32.89
Fractional coordinates of all 4 atoms:
In: 0.000 0.000 0.000
P: 0.209 0.209 0.620
P: 0.791 0.791 0.380
Pt: 0.500 0.500 0.500

Fermi-level density of states: 1.8 states/eV per cell
space group: C2/m, No. 12
calculated volume: 77 Å³ per cell
ΔH_f (0 K): 0.065 eV per atom
M_tot: 0.00 μB per formula unit

=====

A relaxed In2PPt crystal, computed with PBE.

a b c (Å): 5.180 5.180 5.958
angles (deg): 114.65 114.65 37.39
Fractional coordinates of all 4 atoms:
In: 0.000 0.000 0.000
In: 0.166 0.166 0.636
P: 0.816 0.816 0.238
Pt: 0.418 0.418 0.554

Fermi-level density of states: 1.1 states/eV per cell
space group: Cm, No. 8
calculated volume: 87 Å³ per cell
ΔH_f (0 K): -0.143 eV per atom
M_tot: 0.00 μB per formula unit

=====

A relaxed In2PPt crystal, computed with PBE.

a b c (Å): 3.723 4.074 5.307
angles (deg): 90.00 90.00 90.00
Fractional coordinates of all 4 atoms:
In: 0.000 0.000 0.000
In: 0.000 0.500 0.500
P: 0.500 0.000 0.500
Pt: 0.500 0.500 0.000

Fermi-level density of states: 2.3 states/eV per cell
space group: Pmmm, No. 47
calculated volume: 81 Å³ per cell
ΔH_f (0 K): 0.095 eV per atom
M_tot: 0.00 μB per formula unit

=====

A relaxed InPPt4 crystal, computed with PBE.

a b c (Å): 5.318 5.318 5.318
angles (deg): 60.00 60.00 60.00
Fractional coordinates of all 6 atoms:
In: 0.000 0.000 0.000
P: 0.750 0.750 0.750
Pt: 0.375 0.375 0.375
Pt: 0.375 0.375 0.874
Pt: 0.375 0.874 0.375
Pt: 0.874 0.375 0.375

Fermi-level density of states: 2.0 states/eV per cell
space group: F-43m, No. 216
calculated volume: 106 Å³ per cell
ΔH_f (0 K): 0.173 eV per atom
offset from the most stable computed form: 0.565 eV/atom
M_tot: 0.00 μB per formula unit

=====

A relaxed In2PPt crystal, computed with PBE.

a b c (Å): 3.572 2.933 7.381
angles (deg): 90.00 90.07 90.00
Fractional coordinates of all 4 atoms:
In: 0.000 0.000 0.240
In: 0.000 0.000 0.760
P: 0.500 0.500 0.500
Pt: 0.500 0.500 0.000

Fermi-level density of states: 1.6 states/eV per cell
space group: P2/m, No. 10
calculated volume: 77 Å³ per cell
ΔH_f (0 K): 0.042 eV per atom
M_tot: 0.00 μB per formula unit

=====

A relaxed InP2Pt crystal, computed with PBE.

a b c (Å): 3.232 3.232 7.185
angles (deg): 90.00 90.00 90.00
Fractional coordinates of all 4 atoms:
In: 0.000 0.000 0.000
P: 0.000 0.000 0.366
P: 0.500 0.500 0.465
Pt: 0.500 0.500 0.790

Fermi-level density of states: 1.8 states/eV per cell
space group: P4mm, No. 99
calculated volume: 75 Å³ per cell
ΔH_f (0 K): -0.069 eV per atom
M_tot: 0.00 μB per formula unit

=====

A relaxed InPPt4 crystal, computed with PBE.

a b c (Å): 3.923 3.923 6.961
angles (deg): 90.15 90.15 90.00
Fractional coordinates of all 6 atoms:
In: 0.000 0.000 0.000
P: 0.500 0.500 0.500
Pt: 0.001 0.501 0.290
Pt: 0.499 0.999 0.710
Pt: 0.501 0.001 0.290
Pt: 0.999 0.499 0.710

Fermi-level density of states: 1.7 states/eV per cell
space group: C2/m, No. 12
calculated volume: 107 Å³ per cell
ΔH_f (0 K): -0.392 eV per atom
offset from the most stable computed form: 0.000 eV/atom
M_tot: 0.00 μB per formula unit

=====

A relaxed InP2Pt crystal, computed with PBE.

a b c (Å): 4.421 3.673 4.996
angles (deg): 90.00 106.44 90.00
Fractional coordinates of all 4 atoms:
In: 0.000 0.000 0.000
P: 0.235 0.500 0.650
P: 0.765 0.500 0.350
Pt: 0.500 0.000 0.500

Fermi-level density of states: 0.8 states/eV per cell
space group: P2/m, No. 10
calculated volume: 78 Å³ per cell
ΔH_f (0 K): -0.336 eV per atom
M_tot: 0.00 μB per formula unit

=====

A relaxed InPPt crystal, computed with PBE.

a b c (Å): 4.379 4.379 4.379
angles (deg): 60.00 60.00 60.00
Fractional coordinates of all 3 atoms:
In: 0.000 0.000 0.000
P: 0.500 0.500 0.500
Pt: 0.250 0.250 0.250

Fermi-level density of states: 1.1 states/eV per cell
space group: F-43m, No. 216
calculated volume: 59 Å³ per cell
ΔH_f (0 K): -0.185 eV per atom
M_tot: 0.00 μB per formula unit

=====

A relaxed InP2Pt crystal, computed with PBE.

a b c (Å): 4.126 4.126 5.855
angles (deg): 94.42 94.42 55.60
Fractional coordinates of all 4 atoms:
In: 0.000 0.000 0.000
P: 0.288 0.288 0.433
P: 0.308 0.308 0.806
Pt: 0.602 0.602 0.351

Fermi-level density of states: 1.1 states/eV per cell
space group: Cm, No. 8
calculated volume: 82 Å³ per cell
ΔH_f (0 K): -0.194 eV per atom
M_tot: 0.00 μB per formula unit

=====

A relaxed InP2Pt crystal, computed with PBE.

a b c (Å): 4.477 4.477 3.655
angles (deg): 90.00 90.00 107.07
Fractional coordinates of all 4 atoms:
In: 0.000 0.000 0.000
P: 0.000 0.500 0.500
P: 0.500 0.000 0.500
Pt: 0.500 0.500 0.000

Fermi-level density of states: 1.6 states/eV per cell
space group: Cmmm, No. 65
calculated volume: 70 Å³ per cell
ΔH_f (0 K): 0.292 eV per atom
M_tot: 0.00 μB per formula unit

=====

A relaxed InPPt crystal, computed with PBE.

a b c (Å): 3.538 3.538 5.418
angles (deg): 90.00 90.00 120.00
Fractional coordinates of all 3 atoms:
In: 0.000 0.000 0.000
P: 0.667 0.333 0.597
Pt: 0.333 0.667 0.376

Fermi-level density of states: 2.0 states/eV per cell
space group: P3m1, No. 156
calculated volume: 59 Å³ per cell
ΔH_f (0 K): -0.224 eV per atom
M_tot: 0.00 μB per formula unit

=====

A relaxed InP2Pt crystal, computed with PBE.

a b c (Å): 6.456 6.456 6.456
angles (deg): 34.33 34.33 34.33
Fractional coordinates of all 4 atoms:
In: 0.000 0.000 0.000
P: 0.227 0.227 0.227
P: 0.773 0.773 0.773
Pt: 0.500 0.500 0.500

Fermi-level density of states: 1.8 states/eV per cell
space group: R-3m, No. 166
calculated volume: 76 Å³ per cell
ΔH_f (0 K): -0.196 eV per atom
M_tot: 0.00 μB per formula unit

=====

A relaxed InP2Pt crystal, computed with PBE.

a b c (Å): 4.379 4.384 4.645
angles (deg): 90.00 112.60 90.00
Fractional coordinates of all 4 atoms:
In: 0.000 0.000 0.000
P: 0.373 0.000 0.591
P: 0.598 0.500 0.490
Pt: 0.172 0.500 0.719

Fermi-level density of states: 1.6 states/eV per cell
space group: Pm, No. 6
calculated volume: 82 Å³ per cell
ΔH_f (0 K): 0.007 eV per atom
M_tot: 0.00 μB per formula unit

=====

A relaxed PuIn2P2Pt7 crystal, computed with PBE.

a b c (Å): 3.951 3.951 15.448
angles (deg): 97.21 97.21 90.00
Fractional coordinates of all 12 atoms:
Pu: 0.000 0.000 0.000
In: 0.213 0.213 0.427
In: 0.787 0.787 0.573
P: 0.382 0.382 0.762
P: 0.618 0.618 0.238
Pt: 0.075 0.575 0.152
Pt: 0.307 0.307 0.612
Pt: 0.425 0.925 0.848
Pt: 0.500 0.500 0.000
Pt: 0.575 0.075 0.152
Pt: 0.693 0.693 0.388
Pt: 0.925 0.425 0.848

Fermi-level density of states: 17.3 states/eV per cell
space group: C2/m, No. 12
calculated volume: 237 Å³ per cell
ΔH_f (0 K): -0.518 eV per atom
M_tot: 4.87 μB per formula unit

=====

A relaxed RbInP2Pt4 crystal, computed with PBE.

a b c (Å): 4.004 4.004 10.806
angles (deg): 90.00 90.00 90.00
Fractional coordinates of all 8 atoms:
Rb: 0.000 0.000 0.000
In: 0.000 0.000 0.500
P: 0.500 0.500 0.199
P: 0.500 0.500 0.801
Pt: 0.000 0.500 0.311
Pt: 0.000 0.500 0.689
Pt: 0.500 0.000 0.311
Pt: 0.500 0.000 0.689

Fermi-level density of states: 4.3 states/eV per cell
space group: P4/mmm, No. 123
calculated volume: 173 Å³ per cell
ΔH_f (0 K): -0.522 eV per atom
M_tot: 0.00 μB per formula unit

=====

A relaxed InP2PtS crystal, computed with PBE.

a b c (Å): 4.620 4.620 5.269
angles (deg): 90.00 90.00 90.00
Fractional coordinates of all 5 atoms:
In: 0.000 0.000 0.000
P: 0.000 0.500 0.500
P: 0.500 0.000 0.500
Pt: 0.500 0.500 0.500
S: 0.500 0.500 0.000

Fermi-level density of states: 5.0 states/eV per cell
space group: P4/mmm, No. 123
calculated volume: 112 Å³ per cell
raw formation energy: 2.5 eV/f.u.
offset from the most stable computed form: 0.000 eV/atom
M_tot: 0.00 μB per formula unit

=====

A relaxed InPPtS2 crystal, computed with PBE.

a b c (Å): 4.898 4.898 5.027
angles (deg): 90.00 90.00 90.00
Fractional coordinates of all 5 atoms:
In: 0.000 0.000 0.000
P: 0.000 0.000 0.500
Pt: 0.500 0.500 0.500
S: 0.000 0.500 0.000
S: 0.500 0.000 0.000

Fermi-level density of states: 7.4 states/eV per cell
space group: P4/mmm, No. 123
calculated volume: 121 Å³ per cell
raw formation energy: 6.5 eV/f.u.
offset from the most stable computed form: 0.940 eV/atom
M_tot: 0.81 μB per formula unit

=====

A relaxed InP2PtS crystal, computed with PBE.

a b c (Å): 4.958 4.958 4.854
angles (deg): 90.00 90.00 90.00
Fractional coordinates of all 5 atoms:
In: 0.000 0.000 0.000
P: 0.000 0.500 0.000
P: 0.500 0.000 0.000
Pt: 0.500 0.500 0.500
S: 0.000 0.000 0.500

Fermi-level density of states: 5.1 states/eV per cell
space group: P4/mmm, No. 123
calculated volume: 119 Å³ per cell
raw formation energy: 7.3 eV/f.u.
offset from the most stable computed form: 0.960 eV/atom
M_tot: 0.00 μB per formula unit

=====

A relaxed InPPtS2 crystal, computed with PBE.

a b c (Å): 5.106 5.106 4.367
angles (deg): 90.00 90.00 90.00
Fractional coordinates of all 5 atoms:
In: 0.000 0.000 0.000
P: 0.500 0.500 0.000
Pt: 0.500 0.500 0.500
S: 0.000 0.500 0.500
S: 0.500 0.000 0.500

Fermi-level density of states: 4.4 states/eV per cell
space group: P4/mmm, No. 123
calculated volume: 114 Å³ per cell
raw formation energy: 1.8 eV/f.u.
offset from the most stable computed form: 0.000 eV/atom
M_tot: 0.00 μB per formula unit

=====

A relaxed InSi2PPt crystal, computed with PBE.

a b c (Å): 4.429 4.429 5.021
angles (deg): 90.00 90.00 90.00
Fractional coordinates of all 5 atoms:
In: 0.000 0.000 0.000
Si: 0.000 0.500 0.500
Si: 0.500 0.000 0.500
P: 0.000 0.000 0.500
Pt: 0.500 0.500 0.000

Fermi-level density of states: 2.8 states/eV per cell
space group: P4/mmm, No. 123
calculated volume: 98 Å³ per cell
raw formation energy: 3.7 eV/f.u.
M_tot: 0.00 μB per formula unit

=====

A relaxed SrIn2P2Pt7 crystal, computed with PBE.

a b c (Å): 3.977 3.977 15.373
angles (deg): 96.68 96.68 90.00
Fractional coordinates of all 12 atoms:
Sr: 0.000 0.000 0.000
In: 0.203 0.203 0.425
In: 0.797 0.797 0.575
P: 0.392 0.392 0.761
P: 0.608 0.608 0.239
Pt: 0.071 0.570 0.156
Pt: 0.314 0.314 0.611
Pt: 0.430 0.929 0.844
Pt: 0.500 0.500 0.000
Pt: 0.570 0.071 0.156
Pt: 0.686 0.686 0.389
Pt: 0.929 0.430 0.844

Fermi-level density of states: 4.0 states/eV per cell
space group: C2/m, No. 12
calculated volume: 240 Å³ per cell
ΔH_f (0 K): -0.450 eV per atom
M_tot: 0.00 μB per formula unit

=====

no.,VASP energy (eV/atom)
1,-4.0192
2,-4.3455
3,-5.0654
4,-4.5262
5,-4.3192
6,-4.3063
7,-4.8351
8,-4.3745
9,-4.1369
10,-5.2122
11,-4.1903
12,-4.9691
13,-5.7772
14,-5.2362
15,-4.9145
16,-5.0937
17,-4.6074
18,-4.9533
19,-5.0961
20,-4.8924
21,-6.5942
22,-5.3583
23,-4.2448
24,-3.1929
25,-3.2845
26,-4.1333
27,-4.2657
28,-5.4723